Entry 1:
A geometry-optimized CsLiU2Te4 structure, computed with PBE-GGA.

Output
M_tot: 6.00 μB/f.u.
Raw formation energy: -6.3 eV/f.u.
Density of states at the Fermi level: 27.4 states/eV/cell
Space-group type: No. 63
Calculated volume: 35.13 Å³/atom

Cell: 8.0650 8.0650 15.9403 Å, 90.00 90.00 147.17°
Closest atoms and distances in Å follow each position.
Atoms (fractional coordinates):
Cs: 0.1092 0.8908 0.7500  6 Te 3.69-3.81, 2 Li 4.12
Cs: 0.8908 0.1092 0.2500  6 Te 3.69-3.81, 2 Li 4.12
Li: 0.1693 0.8307 0.2500  4 Te 2.68-2.71
Li: 0.8307 0.1693 0.7500  4 Te 2.68-2.71
U: 0.3691 0.6309 0.5591  6 Te 3.10-3.19
U: 0.3691 0.6309 0.9409  6 Te 3.10-3.19
U: 0.6309 0.3691 0.0591  6 Te 3.10-3.19
U: 0.6309 0.3691 0.4409  6 Te 3.10-3.19
Te: 0.0000 0.0000 0.0000  4 U 3.19
Te: 0.0000 0.0000 0.5000  4 U 3.19
Te: 0.2618 0.7382 0.1055  1 Li 2.71
Te: 0.2618 0.7382 0.3945  1 Li 2.71
Te: 0.4216 0.5784 0.7500  2 Li 2.68
Te: 0.5784 0.4216 0.2500  2 Li 2.68
Te: 0.7382 0.2618 0.6055  1 Li 2.71
Te: 0.7382 0.2618 0.8945  1 Li 2.71

=====

Entry 2:
A geometry-optimized Cs2Li2UTe4 structure, computed with PBE-GGA.

Output
M_tot: 2.00 μB/f.u.
Raw formation energy: -9.0 eV/f.u.
Density of states at the Fermi level: 3.9 states/eV/cell
Space-group type: No. 12
Calculated volume: 36.54 Å³/atom

Cell: 8.7632 8.7632 8.8331 Å, 108.06 108.06 30.80°
Closest atoms and distances in Å follow each position.
Atoms (fractional coordinates):
Cs: 0.1376 0.1376 0.0663  7 Te 3.89-4.03, 3 Li 4.17-4.23
Cs: 0.8624 0.8624 0.9337  7 Te 3.89-4.03, 3 Li 4.17-4.23
Li: 0.3205 0.3205 0.5148  4 Te 2.77-2.88
Li: 0.6795 0.6795 0.4852  4 Te 2.77-2.88
U: 0.0000 0.0000 0.5000  6 Te 3.08-3.11
Te: 0.1907 0.1907 0.6608  3 Li 2.77-2.88, 1 U 3.08
Te: 0.4850 0.4850 0.7230  1 Li 2.80, 2 U 3.11
Te: 0.5150 0.5150 0.2770  1 Li 2.80, 2 U 3.11
Te: 0.8093 0.8093 0.3392  3 Li 2.77-2.88, 1 U 3.08

=====

Entry 3:
A geometry-optimized Cs4LiU3Te8 structure, computed with PBE-GGA.

Output
M_tot: 7.00 μB/f.u.
Raw formation energy: -14.2 eV/f.u.
Density of states at the Fermi level: 12.9 states/eV/cell
Space-group type: No. 166
Calculated volume: 40.57 Å³/atom

Cell: 10.3268 10.3268 10.3268 Å, 52.90 52.90 52.90°
Closest atoms and distances in Å follow each position.
Atoms (fractional coordinates):
Cs: 0.0000 0.0000 0.0000  6 Te 3.81
Cs: 0.0000 0.5000 0.5000  6 Te 3.81-3.87
Cs: 0.5000 0.0000 0.5000  6 Te 3.81-3.87
Cs: 0.5000 0.5000 0.0000  6 Te 3.81-3.87
Li: 0.5000 0.5000 0.5000  6 Te 3.17
U: 0.0000 0.0000 0.5000  6 Te 3.10-3.15
U: 0.0000 0.5000 0.0000  6 Te 3.10-3.15
U: 0.5000 0.0000 0.0000  6 Te 3.10-3.15
Te: 0.2214 0.7318 0.7318  2 U 3.10, 1 Li 3.17
Te: 0.2302 0.2302 0.2302  3 U 3.15
Te: 0.2682 0.2682 0.7786  2 U 3.10, 1 Li 3.17
Te: 0.2682 0.7786 0.2682  2 U 3.10, 1 Li 3.17
Te: 0.7318 0.2214 0.7318  2 U 3.10, 1 Li 3.17
Te: 0.7318 0.7318 0.2214  2 U 3.10, 1 Li 3.17
Te: 0.7698 0.7698 0.7698  3 U 3.15
Te: 0.7786 0.2682 0.2682  2 U 3.10, 1 Li 3.17